A plane-wave DFT calculation with GGA+U was carried out for a relaxed structure of CoTePdO6.

Output
Calculated total energy ... -50.21 eV/f.u.
Calculated density ... 6.21 g cm⁻³
Calculated volume ... 208.1 Å³ per cell

a = 5.1553 Å, b = 5.1553 Å, c = 9.0395 Å
α = 90.00°, β = 90.00°, γ = 120.00°
With the nearest neighbours (Å) after each atom.
Space group P-31c (No. 163)
Symmetry-distinct sites (fractional):
Co: 0.0000 0.0000 0.0000  6 O 2.15
Te: 0.3333 0.6667 0.2500  6 O 1.97
Pd: 0.3333 0.6667 0.7500  6 O 2.02
O: 0.0088 0.3537 0.1307  1 Te 1.97, 1 Pd 2.02, 1 Co 2.15